1.
BaIrO4 after structural relaxation. Source: Alexandria, functional PBE.

extended XYZ file:
```
12
Lattice="-4.143 -4.052 0.179 1.085 -0.860 5.630 -2.755 6.903 -1.399" Properties=species:S:1:pos:R:3 pbc="T T T"
Ba 0.000 0.000 0.000
Ba -4.214 0.198 0.842
Ir -1.529 -2.456 2.905
Ir -1.599 1.794 3.568
O -2.325 -1.706 1.447
O -3.279 1.124 3.789
O -0.885 3.465 3.685
O -1.698 -2.204 4.701
O -1.430 1.541 1.771
O -4.999 2.776 1.388
O -2.604 5.117 1.284
O -0.803 1.044 5.025
```

The value obtained for the energy relative to the elements, uncorrected is -1.27 eV per atom. The relative energy among the computed polymorphs comes out at 136 meV per atom.

2.
ZnCo2PtN after structural relaxation. Source: Alexandria, functional PBE.

extended XYZ file:
```
5
Lattice="3.715 0.000 0.000 0.000 3.715 0.000 0.000 0.000 4.243" Properties=species:S:1:pos:R:3 pbc="T T T"
Zn 0.000 0.000 2.122
Co 0.000 1.858 0.000
Co 1.858 0.000 0.000
Pt 1.858 1.858 2.122
N 0.000 0.000 0.000
```

The value obtained for the energy relative to the elements, uncorrected is 0.00 eV per atom. The relative energy among the computed polymorphs comes out at 0 meV per atom.

3.
Ca2CrBr2 after structural relaxation. Source: Alexandria, functional PBE.

extended XYZ file:
```
10
Lattice="8.676 0.000 0.000 0.000 8.676 0.000 0.000 0.000 3.606" Properties=species:S:1:pos:R:3 pbc="T T T"
Cr 0.000 0.000 0.000
Cr 4.338 4.338 0.000
Ca 1.496 5.834 1.803
Ca 5.834 7.180 1.803
Ca 7.180 2.842 1.803
Ca 2.842 1.496 1.803
Br 3.194 7.532 0.000
Br 7.532 5.482 0.000
Br 5.482 1.144 0.000
Br 1.144 3.194 0.000
```

The value obtained for the energy relative to the elements, uncorrected is -0.52 eV per atom. The relative energy among the computed polymorphs comes out at 71 meV per atom.

4.
RbTb2Cl7 after structural relaxation. Source: Alexandria, functional PBE.

extended XYZ file:
```
10
Lattice="-0.326 5.054 1.657 -5.231 -2.230 5.774 7.856 -0.144 1.986" Properties=species:S:1:pos:R:3 pbc="T T T"
Rb 0.000 0.000 0.000
Tb -1.424 0.930 5.453
Tb 3.722 1.750 3.964
Cl -1.380 -1.616 4.659
Cl 4.004 -0.758 3.101
Cl 2.165 2.373 1.756
Cl 0.133 0.307 7.660
Cl -1.505 1.788 2.819
Cl 3.803 0.892 6.598
Cl 1.149 1.340 4.708
```

The value obtained for the energy relative to the elements, uncorrected is -2.23 eV per atom. The relative energy among the computed polymorphs comes out at 37 meV per atom.

5.
ZrSc2Ga after structural relaxation. Source: Alexandria, functional PBE.

extended XYZ file:
```
4
Lattice="-1.924 3.326 2.085 -3.155 -2.674 1.354 2.306 -0.909 3.578" Properties=species:S:1:pos:R:3 pbc="T T T"
Sc 1.153 -0.454 1.789
Sc -1.578 -1.337 0.677
Ga -0.962 1.663 1.043
Zr -1.387 -0.129 3.509
```

The formation energy comes out at -312 meV per atom.

6.
SrNdHg2 after structural relaxation. Source: Alexandria, functional PBE.

extended XYZ file:
```
4
Lattice="4.141 0.000 0.000 2.070 3.586 0.000 2.070 1.195 9.042" Properties=species:S:1:pos:R:3 pbc="T T T"
Sr 4.141 2.391 4.517
Nd 4.141 2.391 0.010
Hg 2.070 1.195 6.897
Hg 2.070 1.195 2.139
```

The formation energy comes out at -356 meV per atom.

7.
Cs2LiCrBr6 after structural relaxation. Source: Alexandria, functional PBE.

extended XYZ file:
```
10
Lattice="6.524 0.000 0.000 0.000 7.710 0.000 0.000 -3.855 6.677" Properties=species:S:1:pos:R:3 pbc="T T T"
Cs 1.531 0.000 4.452
Cs 4.993 3.855 2.226
Li 3.262 0.000 0.000
Cr 0.000 0.000 0.000
Br 5.033 0.000 2.059
Br 5.033 -2.072 5.648
Br 5.033 2.072 5.648
Br 1.491 5.927 1.029
Br 1.491 1.783 1.029
Br 1.491 3.855 4.619
```

The value obtained for the energy relative to the elements, uncorrected is -1.38 eV per atom.

8.
Be2BN after structural relaxation. Source: Alexandria, functional PBE.

extended XYZ file:
```
16
Lattice="-2.303 1.946 2.964 1.586 -1.260 2.059 7.658 5.729 -2.395" Properties=species:S:1:pos:R:3 pbc="T T T"
Be 6.546 5.083 -1.934
Be 3.511 1.588 0.293
Be 2.379 4.191 0.731
Be -0.657 0.697 2.958
Be -0.472 2.696 2.013
Be 4.150 4.931 1.845
Be 5.096 5.719 -0.427
Be 2.060 2.225 1.800
B 4.906 4.078 -1.285
B 1.870 0.583 0.942
B 0.365 1.150 0.422
B 4.988 3.384 0.254
N 0.933 3.539 1.446
N 5.555 5.774 1.278
N -0.886 0.970 1.276
N 3.736 3.204 1.108
```

The value obtained for the energy relative to the elements, uncorrected is -0.47 eV per atom. The relative energy among the computed polymorphs comes out at 182 meV per atom.

9.
Y3AlCo8 after structural relaxation. Source: Alexandria, functional PBE.

extended XYZ file:
```
12
Lattice="-1.314 3.672 -3.106 -4.308 -0.267 -2.496 -5.670 4.972 4.274" Properties=species:S:1:pos:R:3 pbc="T T T"
Y -7.061 5.619 1.626
Y -5.677 3.461 -5.512
Y -5.610 4.152 -0.722
Al -7.070 4.870 -3.258
Co -4.209 4.277 -3.153
Co -8.473 4.760 -0.825
Co -3.557 2.454 -1.611
Co -9.119 6.567 -2.354
Co -3.522 2.801 0.799
Co -9.175 6.997 0.147
Co -5.695 2.321 -2.850
Co -6.999 6.698 -1.126
```

The formation energy comes out at -192 meV per atom.

10.
Rb2BaSeCl6 after structural relaxation. Source: Alexandria, functional PBE.

extended XYZ file:
```
10
Lattice="7.668 0.000 0.000 0.000 7.668 0.000 3.834 3.834 6.824" Properties=species:S:1:pos:R:3 pbc="T T T"
Se 3.834 3.834 0.000
Ba 0.000 0.000 0.000
Rb 7.668 3.834 3.412
Rb 3.834 7.668 3.412
Cl 3.834 3.834 3.825
Cl 7.668 7.668 2.999
Cl 2.115 2.115 0.000
Cl 5.553 5.553 0.000
Cl 5.553 2.115 0.000
Cl 2.115 5.553 0.000
```

The value obtained for the energy relative to the elements, uncorrected is -1.48 eV per atom.

11.
SrLi2Mn after structural relaxation. Source: Alexandria, functional PBE.

extended XYZ file:
```
4
Lattice="5.247 -0.242 0.000 0.270 5.246 0.000 -2.759 -2.502 3.704" Properties=species:S:1:pos:R:3 pbc="T T T"
Li 0.000 0.000 0.000
Li 0.135 2.623 1.852
Mn 2.759 2.502 0.000
Sr 2.624 -0.121 1.852
```

The relative energy among the computed polymorphs comes out at 48 meV per atom. The formation energy comes out at 406 meV per atom.

12.
AcTcN4 after structural relaxation. Source: Alexandria, functional PBE.

extended XYZ file:
```
12
Lattice="-3.869 -3.233 -1.990 2.060 0.599 -4.978 4.777 -3.915 4.456" Properties=species:S:1:pos:R:3 pbc="T T T"
Ac 0.000 0.000 0.000
Ac 0.002 -4.233 -0.509
Tc -0.904 -1.317 -3.484
Tc 2.966 -2.316 -2.003
N 3.319 -1.007 -3.214
N 4.047 -3.663 1.874
N 2.508 -5.192 -0.228
N 1.423 -2.017 -1.091
N 0.639 -1.617 -4.396
N 4.331 -2.356 -0.803
N 2.792 -3.885 -2.904
N -1.257 -2.626 -2.273
```

The value obtained for the energy relative to the elements, uncorrected is 0.02 eV per atom.

13.
NaCa2Tb after structural relaxation. Source: Alexandria, functional PBE.

extended XYZ file:
```
4
Lattice="-1.991 -1.973 -2.521 1.760 -1.760 -2.831 1.070 -11.316 5.192" Properties=species:S:1:pos:R:3 pbc="T T T"
Na -0.154 -2.491 -3.566
Ca 0.772 -8.702 3.381
Ca 0.221 -3.859 0.027
Tb 0.419 -7.521 -0.082
```

The relative energy among the computed polymorphs comes out at 0 meV per atom. The formation energy comes out at 97 meV per atom.

14.
SiAsPt after structural relaxation. Source: Alexandria, functional PBE.

extended XYZ file:
```
3
Lattice="-0.220 4.093 4.684 -1.037 1.569 5.933 2.643 -0.234 1.248" Properties=species:S:1:pos:R:3 pbc="T T T"
As -1.230 5.622 10.554
Pt 1.410 1.630 4.211
Si -0.050 3.838 7.718
```

The value obtained for the energy relative to the elements, uncorrected is 0.03 eV per atom. The relative energy among the computed polymorphs comes out at 382 meV per atom.

15.
Nd2Y12Tm5 after structural relaxation. Source: Alexandria, functional PBE.

extended XYZ file:
```
19
Lattice="6.085 -0.721 0.301 -4.001 7.127 -5.988 0.850 0.408 14.741" Properties=species:S:1:pos:R:3 pbc="T T T"
Nd 1.811 6.022 8.291
Nd 1.124 0.792 0.763
Y 1.596 0.349 4.095
Y 4.029 4.183 10.768
Y 0.744 2.991 9.584
Y -1.831 5.419 3.793
Y 1.112 3.611 2.816
Y 2.528 1.141 12.031
Y 0.407 5.674 -2.977
Y 4.766 1.396 5.260
Y 1.823 3.204 6.237
Y -1.094 2.632 -1.714
Y 2.191 3.823 -0.530
Y 1.339 6.465 4.959
Tm -1.144 4.962 7.118
Tm -0.683 5.544 0.452
Tm -3.576 7.331 1.382
Tm 3.617 1.270 8.601
Tm 4.078 1.853 1.935
```

The relative energy among the computed polymorphs comes out at 0 meV per atom. The formation energy comes out at 47 meV per atom.

16.
MgZn2Co2 after structural relaxation. Source: Alexandria, functional PBE.

extended XYZ file:
```
5
Lattice="-3.089 -1.294 -1.490 1.506 -3.334 -0.226 -2.736 -3.538 4.236" Properties=species:S:1:pos:R:3 pbc="T T T"
Zn -3.308 -3.573 0.944
Zn -1.011 -4.593 1.576
Co -1.174 -2.555 0.143
Co -3.145 -5.612 2.377
Mg 0.000 0.000 0.000
```

The relative energy among the computed polymorphs comes out at 160 meV per atom. The formation energy comes out at 209 meV per atom.

17.
LiPrDyZn after structural relaxation. Source: Alexandria, functional PBE.

extended XYZ file:
```
4
Lattice="-2.376 -1.010 -2.644 2.334 -2.651 -1.085 -3.229 -4.778 4.727" Properties=species:S:1:pos:R:3 pbc="T T T"
Li -2.813 -4.162 4.118
Pr -1.929 -4.654 0.930
Dy -0.425 -2.428 -1.273
Zn -1.100 -1.628 1.610
```

The relative energy among the computed polymorphs comes out at 0 meV per atom. The formation energy comes out at -118 meV per atom.

18.
Tm4Zn3Cu after structural relaxation. Source: Alexandria, functional PBE.

extended XYZ file:
```
8
Lattice="3.649 0.000 0.000 0.000 4.442 0.000 0.000 0.000 10.885" Properties=species:S:1:pos:R:3 pbc="T T T"
Tm 1.824 2.221 3.732
Tm 0.000 2.221 9.335
Tm 0.000 0.000 1.588
Tm 1.824 0.000 7.119
Zn 0.000 2.221 6.225
Zn 0.000 0.000 4.650
Zn 1.824 0.000 10.120
Cu 1.824 2.221 0.770
```

The relative energy among the computed polymorphs comes out at 51 meV per atom. The formation energy comes out at -285 meV per atom.

19.
Tb2PrAl6 after structural relaxation. Source: Alexandria, functional PBE.

extended XYZ file:
```
9
Lattice="-2.289 -2.336 2.996 0.490 -7.621 -2.284 5.062 -5.417 2.928" Properties=species:S:1:pos:R:3 pbc="T T T"
Tb -0.168 -2.501 1.205
Tb 3.430 -12.873 2.435
Pr 1.631 -7.687 1.820
Al 0.433 -4.967 -0.258
Al 2.830 -10.407 3.899
Al 1.047 -11.266 1.867
Al 4.230 -5.818 1.979
Al 1.322 -7.220 -1.335
Al 2.215 -4.108 1.773
```

The relative energy among the computed polymorphs comes out at 218 meV per atom. The formation energy comes out at -260 meV per atom.

20.
Ba3Cd3In8 after structural relaxation. Source: Alexandria, functional PBE.

extended XYZ file:
```
14
Lattice="4.880 0.000 1.287 1.688 8.825 3.495 0.077 -0.583 9.603" Properties=species:S:1:pos:R:3 pbc="T T T"
Ba 2.716 5.708 9.490
Ba 3.928 2.534 4.896
Ba 0.000 0.000 0.000
Cd 0.882 4.121 6.549
Cd 4.482 5.660 12.689
Cd 2.162 2.581 1.697
In 0.986 0.793 6.155
In 5.658 7.449 8.231
In 4.947 3.212 10.926
In 1.697 5.030 3.459
In 3.635 5.930 6.009
In 3.010 2.312 8.376
In 1.752 0.096 3.251
In 4.892 8.146 11.135
```

The relative energy among the computed polymorphs comes out at 11 meV per atom. The formation energy comes out at -331 meV per atom.

21.
K2LaBr after structural relaxation. Source: Alexandria, functional PBE.

extended XYZ file:
```
4
Lattice="-6.105 1.995 4.189 -1.772 -1.237 -7.124 -2.696 -2.708 1.135" Properties=species:S:1:pos:R:3 pbc="T T T"
Br -3.939 0.379 -1.467
K 0.000 0.000 0.000
K -4.401 -0.357 2.662
La -2.234 -1.973 -2.994
```

The value obtained for the energy relative to the elements, uncorrected is -0.24 eV per atom. The relative energy among the computed polymorphs comes out at 314 meV per atom.

22.
TeIrOsPb after structural relaxation. Source: Alexandria, functional PBE.

extended XYZ file:
```
4
Lattice="-3.324 -2.555 2.247 2.537 -3.443 -0.162 3.175 2.196 3.073" Properties=species:S:1:pos:R:3 pbc="T T T"
Pb -0.943 -0.773 1.661
Te 2.789 -0.696 1.942
Ir -0.278 -0.411 4.378
Os -1.291 -3.692 1.706
```

The value obtained for the energy relative to the elements, uncorrected is 0.50 eV per atom. The relative energy among the computed polymorphs comes out at 169 meV per atom.

23.
Ho4MgIr after structural relaxation. Source: Alexandria, functional PBE.

extended XYZ file:
```
24
Lattice="-2.169 1.316 9.324 -2.314 -7.573 5.538 6.107 -3.019 6.853" Properties=species:S:1:pos:R:3 pbc="T T T"
Ho 0.655 -3.740 8.756
Ho -0.185 -3.231 12.366
Ho -0.241 -6.672 10.900
Ho 3.019 -4.909 11.409
Ho 3.208 -6.349 14.781
Ho -0.772 -7.566 17.792
Ho 0.043 -8.061 14.287
Ho 2.393 -5.854 18.286
Ho 0.098 -4.719 15.710
Ho 2.339 -9.196 16.863
Ho 4.129 -3.624 8.349
Ho -2.505 -5.653 13.366
Ho -1.146 -6.477 7.525
Ho 2.770 -2.800 14.190
Ho -1.055 -0.908 9.897
Ho 2.679 -8.368 11.818
Mg 0.277 -1.581 3.700
Mg -0.414 -1.162 6.669
Mg -0.460 -3.992 5.463
Mg 2.221 -2.542 5.882
Ir 0.989 -5.647 13.218
Ir 1.931 -6.219 9.164
Ir 1.995 -2.354 10.810
Ir -1.666 -4.334 10.238
```

The relative energy among the computed polymorphs comes out at 0 meV per atom. The formation energy comes out at -437 meV per atom.

24.
LaHoCdCu after structural relaxation. Source: Alexandria, functional PBE.

extended XYZ file:
```
4
Lattice="-0.234 -4.732 -2.275 2.218 -0.768 -4.702 4.339 -2.936 -0.410" Properties=species:S:1:pos:R:3 pbc="T T T"
Cd 1.581 -2.109 -1.847
Ho 3.162 -4.218 -3.693
Cu 4.743 -6.328 -5.540
La 0.000 0.000 0.000
```

The formation energy comes out at -194 meV per atom.